# 1
! PBEsol ZnCrSi4O10, relaxed; values from VASP
! Uncorrected formation energy: -2392 meV per atom
&SYSTEM
  ibrav = 0, nat = 64, ntyp = 4
/
ATOMIC_SPECIES
O 16.00 O.upf
Si 28.09 Si.upf
Cr 52.00 Cr.upf
Zn 65.41 Zn.upf
CELL_PARAMETERS angstrom
7.212 0.000 0.000
0.000 7.212 0.000
0.000 0.000 14.799
ATOMIC_POSITIONS angstrom
O 4.965 4.965 3.700
O 3.163 5.403 5.554
O 6.769 1.797 9.244
O 3.019 1.926 1.091
O 1.359 1.359 11.099
O 1.797 0.443 5.554
O 0.587 1.680 13.707
O 5.532 0.587 1.091
O 1.809 3.163 9.244
O 0.587 5.532 6.308
O 1.926 4.193 13.707
O 1.797 6.769 12.954
O 3.163 1.809 12.954
O 4.965 2.247 11.099
O 5.853 5.853 11.099
O 1.680 6.625 1.091
O 5.286 4.193 6.308
O 4.193 5.286 1.091
O 5.286 3.019 13.707
O 5.415 6.769 5.554
O 5.403 3.163 1.845
O 3.019 5.286 8.491
O 5.532 6.625 8.491
O 6.769 5.415 1.845
O 2.247 2.247 3.700
O 1.926 3.019 6.308
O 2.247 4.965 11.099
O 1.680 0.587 8.491
O 0.443 1.797 1.845
O 5.853 1.359 3.700
O 6.625 1.680 6.308
O 1.359 5.853 3.700
O 4.193 1.926 8.491
O 5.403 4.050 9.244
O 1.809 4.050 1.845
O 4.050 5.403 12.954
O 6.625 5.532 13.707
O 4.050 1.809 5.554
O 0.443 5.415 9.244
O 5.415 0.443 12.954
Si 4.759 5.315 5.264
Si 1.153 1.709 9.534
Si 1.153 5.503 2.135
Si 1.897 2.453 2.135
Si 2.453 1.897 5.264
Si 6.059 5.503 9.534
Si 6.059 1.709 2.135
Si 5.503 1.153 5.264
Si 1.709 1.153 12.664
Si 1.709 6.059 5.264
Si 4.759 1.897 12.664
Si 5.315 2.453 9.534
Si 5.503 6.059 12.664
Si 2.453 5.315 12.664
Si 5.315 4.759 2.135
Si 1.897 4.759 9.534
Cr 0.000 3.606 6.395
Cr 0.000 3.606 13.794
Cr 3.606 0.000 8.404
Cr 3.606 0.000 1.005
Zn 0.000 0.000 0.000
Zn 0.000 0.000 7.399
Zn 3.606 3.606 7.399
Zn 3.606 3.606 0.000

# 2
! PBEsol SmCrO4, relaxed; values from VASP
! D(E_F): 8.73 states/eV per cell
! Uncorrected formation energy: -2610 meV per atom
&SYSTEM
  ibrav = 0, nat = 12, ntyp = 3
/
ATOMIC_SPECIES
O 16.00 O.upf
Sm 150.36 Sm.upf
Cr 52.00 Cr.upf
CELL_PARAMETERS angstrom
5.995 -0.025 0.000
-2.673 5.366 0.000
-1.661 -2.670 5.111
ATOMIC_POSITIONS angstrom
O 0.019 3.116 1.634
O 4.639 -0.458 0.921
O -1.125 1.276 3.477
O 1.125 -1.276 3.477
O 1.872 1.263 4.190
O 1.356 0.433 0.921
O 4.123 -1.289 4.190
O 3.303 2.225 1.634
Sm 1.661 2.670 0.000
Sm 2.998 -0.013 2.556
Cr 0.000 0.000 0.000
Cr -1.336 2.683 2.556

# 3
! PBEsol CrSn2O, relaxed; values from VASP
! D(E_F): 3.08 states/eV per cell
! Uncorrected formation energy: 363 meV per atom
&SYSTEM
  ibrav = 0, nat = 4, ntyp = 3
/
ATOMIC_SPECIES
Sn 118.71 Sn.upf
Cr 52.00 Cr.upf
O 16.00 O.upf
CELL_PARAMETERS angstrom
4.614 0.000 0.000
2.307 3.996 0.000
2.307 1.332 3.768
ATOMIC_POSITIONS angstrom
Sn 2.307 1.332 0.942
Sn 6.921 3.996 2.826
Cr 4.614 2.664 1.884
O 0.000 0.000 0.000

# 4
! PBEsol SrCr2O4, relaxed; values from VASP
! Uncorrected formation energy: -2239 meV per atom
&SYSTEM
  ibrav = 0, nat = 28, ntyp = 3
/
ATOMIC_SPECIES
O 16.00 O.upf
Cr 52.00 Cr.upf
Sr 87.62 Sr.upf
CELL_PARAMETERS angstrom
5.128 0.000 0.000
0.000 5.909 0.000
0.000 0.000 11.476
ATOMIC_POSITIONS angstrom
O 1.719 2.954 9.642
O 1.719 2.954 1.833
O 4.281 1.457 1.800
O 4.281 4.452 1.800
O 4.281 1.457 9.676
O 3.409 0.000 7.571
O 3.409 0.000 3.904
O 1.684 0.000 1.908
O 0.847 1.497 3.938
O 3.444 2.954 3.830
O 0.847 4.411 7.538
O 0.847 1.497 7.538
O 4.281 4.452 9.676
O 1.684 0.000 9.568
O 3.444 2.954 7.646
O 0.847 4.411 3.938
Cr 0.015 2.954 2.787
Cr 2.564 1.477 2.869
Cr 0.015 2.954 8.689
Cr 2.564 1.477 8.607
Cr 2.564 4.431 2.869
Cr 2.564 4.431 8.607
Cr 5.113 0.000 8.524
Cr 5.113 0.000 2.951
Sr 4.909 2.954 5.738
Sr 3.289 2.954 0.000
Sr 1.840 0.000 5.738
Sr 0.219 0.000 0.000

# 5
! PBEsol Sr3Cr2O8, relaxed; values from VASP
! D(E_F): 8.08 states/eV per cell
! Uncorrected formation energy: -2506 meV per atom
&SYSTEM
  ibrav = 0, nat = 13, ntyp = 3
/
ATOMIC_SPECIES
Cr 52.00 Cr.upf
O 16.00 O.upf
Sr 87.62 Sr.upf
CELL_PARAMETERS angstrom
-4.674 2.131 -2.011
-4.284 -3.296 -1.100
-5.270 0.496 5.208
ATOMIC_POSITIONS angstrom
Cr -6.470 -0.584 -0.712
Cr -7.758 -0.085 2.808
O -8.167 -0.701 -0.681
O -3.060 -0.360 -0.836
O -6.062 0.031 2.778
O -11.169 -0.309 2.932
O -5.826 -1.767 0.326
O -6.021 0.950 -0.131
O -8.207 -1.619 2.227
O -8.402 1.098 1.770
Sr -3.877 -0.043 1.399
Sr -10.351 -0.626 0.697
Sr 0.000 0.000 0.000

# 6
! PBEsol Sr9Cr5O18, relaxed; values from VASP
! D(E_F): 28.59 states/eV per cell
! Uncorrected formation energy: -2538 meV per atom
&SYSTEM
  ibrav = 0, nat = 64, ntyp = 3
/
ATOMIC_SPECIES
O 16.00 O.upf
Cr 52.00 Cr.upf
Sr 87.62 Sr.upf
CELL_PARAMETERS angstrom
-2.597 2.656 -3.852
-6.782 -8.212 -1.090
-7.723 4.758 12.204
ATOMIC_POSITIONS angstrom
O -10.052 -1.444 7.609
O -12.990 -2.153 5.453
O -6.849 1.893 2.195
O -8.328 0.652 7.884
O -7.938 3.968 6.260
O -5.366 2.685 -0.076
O -9.612 1.966 6.009
O -4.096 0.249 -3.742
O -11.315 -0.139 5.707
O -4.805 -3.138 1.054
O -10.232 -2.221 1.661
O -7.013 0.665 -0.357
O -4.094 1.391 1.828
O -13.118 -0.441 8.267
O -7.182 -1.517 3.795
O -15.676 -1.751 5.665
O -13.278 -3.346 2.928
O -3.702 -0.015 -0.960
O -7.283 -3.926 -1.786
O -4.383 -2.304 -2.483
O -5.753 -0.632 1.546
O -7.682 -6.504 -2.891
O -11.727 -3.445 7.356
O -7.480 -2.727 1.273
O -8.760 -1.410 -0.609
O -9.537 3.470 9.094
O -5.420 -5.971 -1.221
O -8.181 -7.259 0.531
O -12.300 2.371 6.188
O -9.887 0.760 3.472
O -10.416 -3.438 -0.885
O -10.573 -5.623 3.250
O -9.128 -4.746 0.990
O -10.236 -2.670 5.070
O -6.649 2.663 8.144
O -6.853 1.444 5.604
Cr -14.472 -2.549 4.287
Cr -9.125 -2.961 0.396
Cr -3.388 -0.818 -2.489
Cr -5.996 -2.325 2.435
Cr -7.954 2.191 6.870
Cr -6.436 -5.276 -2.524
Cr -9.384 -6.434 1.895
Cr -5.736 1.147 0.938
Cr -11.084 1.560 4.827
Cr -11.343 -1.917 6.328
Sr -10.881 0.947 7.981
Sr -11.784 -4.362 1.222
Sr -0.016 -0.018 -0.003
Sr -8.395 -0.254 1.764
Sr -5.367 0.445 3.923
Sr -13.853 0.232 5.812
Sr -12.073 -4.619 4.957
Sr -6.589 -5.121 0.941
Sr -10.483 4.359 6.326
Sr -11.713 -1.216 3.342
Sr -7.485 5.048 8.534
Sr -6.002 -1.469 -4.398
Sr -8.757 -3.662 3.380
Sr -3.219 -0.994 1.455
Sr -8.323 2.891 3.886
Sr -2.831 2.360 -0.174
Sr -8.684 -0.511 5.499
Sr -6.227 -1.741 -0.727

# 7
! PBEsol Sr4Cr3O10, relaxed; values from VASP
! D(E_F): 7.54 states/eV per cell
! Uncorrected formation energy: -2507 meV per atom
&SYSTEM
  ibrav = 0, nat = 17, ntyp = 3
/
ATOMIC_SPECIES
Cr 52.00 Cr.upf
O 16.00 O.upf
Sr 87.62 Sr.upf
CELL_PARAMETERS angstrom
3.771 0.000 0.000
0.000 3.771 0.000
-1.886 -1.886 13.869
ATOMIC_POSITIONS angstrom
Cr 0.000 0.000 0.000
Cr 0.000 0.000 3.839
Cr 1.886 1.886 10.029
O 1.886 0.000 3.824
O 0.000 0.000 1.902
O 1.886 1.886 11.967
O 1.886 0.000 0.000
O 0.000 1.886 0.000
O 0.000 1.886 3.824
O 0.000 1.886 10.044
O 0.000 0.000 5.773
O 1.886 1.886 8.096
O 1.886 0.000 10.044
Sr 1.886 1.886 1.898
Sr 1.886 1.886 5.614
Sr 0.000 0.000 8.255
Sr 0.000 0.000 11.971

# 8
! PBEsol SrCr2O7, relaxed; values from VASP
! D(E_F): 0.00 states/eV per cell
! Uncorrected formation energy: -2076 meV per atom
&SYSTEM
  ibrav = 0, nat = 80, ntyp = 3
/
ATOMIC_SPECIES
O 16.00 O.upf
Cr 52.00 Cr.upf
Sr 87.62 Sr.upf
CELL_PARAMETERS angstrom
9.623 0.000 0.000
0.000 11.095 0.000
0.000 0.000 11.095
ATOMIC_POSITIONS angstrom
O 8.334 0.000 9.385
O 7.899 5.548 0.000
O 3.477 9.790 3.919
O 1.324 7.944 6.870
O 6.135 9.773 2.397
O 8.221 2.823 0.000
O 6.145 3.919 1.305
O 3.487 2.397 9.773
O 1.324 7.944 4.225
O 6.145 7.176 1.305
O 3.487 8.699 1.323
O 3.477 1.305 3.919
O 1.288 9.385 0.000
O 6.145 3.919 9.790
O 1.401 0.000 2.823
O 6.100 5.548 3.837
O 8.299 6.870 7.944
O 6.535 0.000 5.548
O 3.523 3.837 5.548
O 6.100 5.548 7.258
O 8.299 4.225 7.944
O 8.289 1.629 4.243
O 1.288 1.710 0.000
O 8.289 9.467 4.243
O 3.430 0.000 0.000
O 1.334 6.853 9.467
O 1.334 4.243 9.467
O 8.241 5.548 5.548
O 3.087 5.548 0.000
O 6.135 1.323 2.397
O 3.487 2.397 1.323
O 6.135 9.773 8.699
O 3.487 8.699 9.773
O 8.299 4.225 3.151
O 6.135 1.323 8.699
O 8.334 0.000 1.710
O 3.477 9.790 7.176
O 1.724 0.000 5.548
O 6.213 8.370 5.548
O 1.334 6.853 1.629
O 1.334 4.243 1.629
O 1.324 3.151 6.870
O 1.401 0.000 8.273
O 3.410 5.548 8.370
O 8.289 1.629 6.853
O 8.221 8.273 0.000
O 1.324 3.151 4.225
O 3.523 7.258 5.548
O 1.381 5.548 5.548
O 3.477 1.305 7.176
O 3.410 5.548 2.725
O 6.213 2.725 5.548
O 6.192 0.000 0.000
O 8.289 9.467 6.853
O 8.299 6.870 3.151
O 6.145 7.176 9.790
Cr 6.694 0.000 9.426
Cr 1.883 7.217 5.548
Cr 6.694 0.000 1.669
Cr 1.883 3.878 5.548
Cr 7.740 5.548 7.217
Cr 2.929 1.669 0.000
Cr 2.264 5.548 9.548
Cr 2.264 5.548 1.548
Cr 7.740 5.548 3.878
Cr 7.076 7.095 0.000
Cr 2.547 0.000 7.095
Cr 2.547 0.000 4.000
Cr 2.929 9.426 0.000
Cr 7.076 4.000 0.000
Cr 7.358 1.548 5.548
Cr 7.358 9.548 5.548
Sr 4.811 3.345 7.750
Sr 0.000 8.893 2.203
Sr 4.811 7.750 7.750
Sr 4.811 3.345 3.345
Sr 0.000 2.203 8.893
Sr 4.811 7.750 3.345
Sr 0.000 8.893 8.893
Sr 0.000 2.203 2.203

| no. | final energy (eV per cell) |
| --- | --- |
| 1 | -502.29 |
| 2 | -103.98 |
| 3 | -22.56 |
| 4 | -235.97 |
| 5 | -100.57 |
| 6 | -486.93 |
| 7 | -133.20 |
| 8 | -638.64 |